[1]
## TbIn4AgO8 (PBE)

Data for an optimized crystal structure of TbIn4AgO8.

Cell: 6.6028 6.6028 16.5385 Å, 90.00 90.00 120.00°
Space group R3m (No. 160, hexagonal axes)
Inequivalent atoms, fractional coordinates:
1 Tb 0.0000 0.0000 0.0000 x3
2 In 0.0000 0.0000 0.3818 x3
3 In 0.0052 0.5026 0.5050 x9
4 Ag 0.0000 0.0000 0.6354 x3
5 O 0.0000 0.0000 0.2459 x3
6 O 0.0000 0.0000 0.7709 x3
7 O 0.0194 0.5097 0.7591 x9
8 O 0.1844 0.3689 0.5786 x9

***

[2]
## U2S2N (PBE)

Data for an optimized crystal structure of U2S2N.

Cell: 3.6749 3.6749 28.1449 Å, 90.00 90.00 120.00°
Space group R-3m (No. 166, hexagonal axes)
Inequivalent atoms, fractional coordinates:
1 U 0.0000 0.0000 0.1217 x6
2 S 0.0000 0.0000 0.2685 x6
3 N 0.0000 0.0000 0.5000 x3

***

Short version: ΔE_f (raw) = -23.09 -6.16 eV per formula unit, in the order given.
Short version: total magnetic moment = 0.00 9.12 Bohr magnetons per cell, in the order given.